# 1
A relaxed structure of CdGa2Pd2. Source: OQMD, functional PBE-GGA.

For the total energy, the calculation gives -3.927 eV per atom.

It has space group P4/mbm (No. 127), with a = 7.3199 Å, b = 7.3199 Å, c = 3.1141 Å, α = 90.00°, β = 90.00° and γ = 90.00°. Symmetry generates all atoms from Cd at (0.0000, 0.0000, 0.0000), Ga at (0.1497, 0.3503, 0.5000) and Pd at (0.1460, 0.6460, 0.0000).


# 2
A relaxed structure of PuRe. Source: OQMD, functional PBE-GGA.

For the formation enthalpy at 0 K, the calculation gives 1023 meV per atom. The value obtained for the total magnetization is 6.01 μB/cell.

It has space group P6_3/mmc (No. 194), with a = 3.9392 Å, b = 3.9392 Å, c = 5.8376 Å, α = 90.00°, β = 90.00° and γ = 120.00°. Symmetry generates all atoms from Pu at (0.0000, 0.0000, 0.0000) and Re at (0.3333, 0.6667, 0.2500).


# 3
A relaxed structure of ScCuSnSe2S. Source: OQMD, functional PBE-GGA.

The value obtained for the total magnetization is 0.01 μB/cell. For the total energy, the calculation gives -5.104 eV per atom.

It has space group Cmcm (No. 63), with a = 3.8658 Å, b = 13.3400 Å, c = 9.7426 Å, α = 90.00°, β = 90.00° and γ = 90.00°. Symmetry generates all atoms from Sc at (0.0000, 0.0000, 0.0000), Cu at (0.0000, 0.4748, 0.2500), Sn at (0.0000, 0.2562, 0.7500), Se at (0.0000, 0.3591, 0.0556) and S at (0.0000, 0.0727, 0.2500).


# 4
A relaxed structure of BaTmAgTeS2. Source: OQMD, functional PBE-GGA.

The relative energy among the computed polymorphs is 11.0 kJ/mol of atoms. The value obtained for the total magnetization is 0.03 μB/cell.

It has space group Cmcm (No. 63), with a = 4.1466 Å, b = 14.9573 Å, c = 11.0334 Å, α = 90.00°, β = 90.00° and γ = 90.00°. Symmetry generates all atoms from Ba at (0.0000, 0.2128, 0.2500), Tm at (0.0000, 0.0000, 0.0000), Ag at (0.0000, 0.4816, 0.7500), Te at (0.0000, 0.1026, 0.7500) and S at (0.0000, 0.3846, 0.5622).


# 5
A relaxed structure of RbNaCoRe. Source: OQMD, functional PBE-GGA.

The relative energy among the computed polymorphs is 0.0 kJ/mol of atoms. The value obtained for the total magnetization is 16.68 μB/cell.

It has space group F-43m (No. 216), with a = 6.9209 Å, b = 6.9209 Å, c = 6.9209 Å, α = 90.00°, β = 90.00° and γ = 90.00°. Symmetry generates all atoms from Rb at (0.0000, 0.0000, 0.0000), Na at (0.2500, 0.2500, 0.7500), Co at (0.2500, 0.2500, 0.2500) and Re at (0.0000, 0.0000, 0.5000).


# 6
A relaxed structure of KErPO. Source: OQMD, functional PBE-GGA.

The relative energy among the computed polymorphs is 50.7 kJ/mol of atoms. The value obtained for the total magnetization is 0.00 μB/cell.

It has space group P4/nmm (No. 129, origin choice 2), with a = 5.6645 Å, b = 5.6645 Å, c = 5.0439 Å, α = 90.00°, β = 90.00° and γ = 90.00°. Symmetry generates all atoms from K at (0.2500, 0.2500, 0.0063), Er at (0.2500, 0.7500, 0.5000), P at (0.2500, 0.2500, 0.5066) and O at (0.2500, 0.7500, 0.0000).


# 7
A relaxed structure of TlPAuO. Source: OQMD, functional PBE-GGA.

The relative energy among the computed polymorphs is 0.0 kJ/mol of atoms.

It has space group Pmc2_1 (No. 26), with a = 3.5886 Å, b = 6.8309 Å, c = 6.8852 Å, α = 90.00°, β = 90.00° and γ = 90.00°. Symmetry generates all atoms from Tl at (0.0000, 0.1866, 0.0000), P at (0.0000, 0.1849, 0.3848), Au at (0.5000, 0.2947, 0.5705) and O at (0.5000, 0.3482, 0.8828).


# 8
A relaxed structure of Pr3Ag2Hg3Pd. Source: OQMD, functional PBE-GGA.

For the formation enthalpy at 0 K, the calculation gives -447 meV per atom. The value obtained for the total magnetization is 0.01 μB/cell.

It has space group P-62m (No. 189), with a = 7.9548 Å, b = 7.9548 Å, c = 4.0036 Å, α = 90.00°, β = 90.00° and γ = 120.00°. Symmetry generates all atoms from Pr at (0.0000, 0.3885, 0.0000), Ag at (0.3333, 0.6667, 0.5000), Hg at (0.0000, 0.7359, 0.5000) and Pd at (0.0000, 0.0000, 0.0000).